(1)
A relaxed structure of AcAu12, computed with PBE.

Calculated values
The energy relative to the lowest polymorph listed for this composition is 0.567 eV/atom. The calculation puts the formation energy from the elements at 335.0 meV per atom. As for the magnetization: 0.00 μB per formula unit.

The structure in CIF format:
```
data_AcAu12
_chemical_formula_sum 'Ac4 Au48'
_cell_length_a 11.4188
_cell_length_b 11.4188
_cell_length_c 11.4188
_cell_angle_alpha 90.00
_cell_angle_beta 90.00
_cell_angle_gamma 90.00
_symmetry_space_group_name_H-M 'F m -3 m'
_symmetry_Int_Tables_number 225
_symmetry_space_group_name_Hall '-F 4 2 3'
loop_
_atom_site_label
_atom_site_fract_x
_atom_site_fract_y
_atom_site_fract_z
_atom_site_occupancy
Ac1 0.0000 0.0000 0.0000 1
Au1 0.0000 0.1697 0.3303 1
```

(2)
A relaxed structure of AcIr, computed with PBE.

Calculated values
The calculation puts the formation energy from the elements at -350.4 meV per atom. As for the magnetization: 0.00 μB per formula unit.

The structure in CIF format:
```
data_AcIr
_chemical_formula_sum 'Ac4 Ir4'
_cell_length_a 4.0844
_cell_length_b 4.1565
_cell_length_c 13.5346
_cell_angle_alpha 90.00
_cell_angle_beta 90.00
_cell_angle_gamma 90.00
_symmetry_space_group_name_H-M 'I m m a'
_symmetry_Int_Tables_number 74
_symmetry_space_group_name_Hall '-I 2b 2'
loop_
_atom_site_label
_atom_site_fract_x
_atom_site_fract_y
_atom_site_fract_z
_atom_site_occupancy
Ac1 0.0000 0.2500 0.1219 1
Ir1 0.0000 0.2500 0.6850 1
```

(3)
A relaxed structure of Sr3AlSn, computed with PBE.

Calculated values
The energy relative to the lowest polymorph listed for this composition is 0.000 eV/atom. The calculation puts the formation energy from the elements at -219.4 meV per atom. As for the magnetization: 0.00 μB per formula unit.

The structure in CIF format:
```
data_Sr3AlSn
_chemical_formula_sum 'Sr12 Al4 Sn4'
_cell_length_a 10.9792
_cell_length_b 9.2318
_cell_length_c 7.5735
_cell_angle_alpha 90.00
_cell_angle_beta 90.00
_cell_angle_gamma 90.00
_symmetry_space_group_name_H-M 'I m a 2'
_symmetry_Int_Tables_number 46
loop_
_symmetry_equiv_pos_as_xyz
'x,y,z'
'-x,-y,z'
'-x+1/2,y,z'
'x+1/2,-y,z'
'x+1/2,y+1/2,z+1/2'
'-x+1/2,-y+1/2,z+1/2'
'-x,y+1/2,z+1/2'
'x,-y+1/2,z+1/2'
loop_
_atom_site_label
_atom_site_fract_x
_atom_site_fract_y
_atom_site_fract_z
_atom_site_occupancy
Sr1 0.9996 0.2495 0.0000 1
Sr2 0.2500 0.0145 0.7490 1
Al1 0.2500 0.6668 0.7501 1
Sn1 0.2500 0.1193 0.2501 1
```